a) Here is a relaxed structure of TaAuCl from the Alexandria database. Energies are from PBE-GGA.

Values from the calculation:
Total magnetization, μB/atom: 0.00

Unit cell a=3.0700 b=3.0700 c=7.6016 alpha=90.00 beta=90.00 gamma=120.00
Space group P3m1 (No. 156)
One atom of each set of equivalent atoms:
Ta 0.0000 0.0000 0.0000 x1
Au 0.6667 0.3333 0.2948 x1
Cl 0.3333 0.6667 0.7639 x1

b) Here is a relaxed structure of TaAuCl from the Alexandria database. Energies are from PBE-GGA.

Values from the calculation:
Total magnetization, μB/atom: 0.00

Unit cell a=3.1476 b=5.1527 c=15.3754 alpha=90.00 beta=90.00 gamma=90.00
Space group Fmm2 (No. 42)
One atom of each set of equivalent atoms:
Ta 0.0000 0.0000 0.0000 x4
Au 0.0000 0.0000 0.6498 x4
Cl 0.0000 0.0000 0.3724 x4

Most favorable structure: a). The second most favorable one is 0.229 eV/atom above it.

a) Here is a relaxed structure of TaAuCl from the Alexandria database. Energies are from PBE-GGA.

Values from the calculation:
Total magnetization, μB/atom: 0.00

Unit cell a=6.2601 b=6.2601 c=6.2601 alpha=90.00 beta=90.00 gamma=90.00
Space group F-43m (No. 216)
One atom of each set of equivalent atoms:
Ta 0.0000 0.0000 0.0000 x4
Au 0.2500 0.2500 0.2500 x4
Cl 0.2500 0.2500 0.7500 x4

b) Here is a relaxed structure of TaAuCl from the Alexandria database. Energies are from PBE-GGA.

Values from the calculation:
Total magnetization, μB/atom: 0.00

Unit cell a=4.4849 b=4.4849 c=3.0584 alpha=90.00 beta=90.00 gamma=120.00
Space group P-6m2 (No. 187)
One atom of each set of equivalent atoms:
Ta 0.0000 0.0000 0.0000 x1
Au 0.6667 0.3333 0.5000 x1
Cl 0.3333 0.6667 0.0000 x1

c) Here is a relaxed structure of TaAuCl from the Alexandria database. Energies are from PBE-GGA.

Values from the calculation:
Total magnetization, μB/atom: 0.00

Unit cell a=3.0128 b=3.0128 c=14.2194 alpha=90.00 beta=90.00 gamma=90.00
Space group I4mm (No. 107)
One atom of each set of equivalent atoms:
Ta 0.0000 0.0000 0.0000 x2
Au 0.0000 0.0000 0.3716 x2
Cl 0.0000 0.0000 0.6138 x2

Most favorable structure: c). The second most favorable one is 0.369 eV/atom above it.

a) Here is a relaxed structure of TcAuCl3 from the Alexandria database. Energies are from PBE-GGA.

Values from the calculation:
Total magnetization, μB/atom: 0.57

Unit cell a=4.8722 b=4.8722 c=4.8722 alpha=90.00 beta=90.00 gamma=90.00
Space group Pm-3m (No. 221)
One atom of each set of equivalent atoms:
Tc 0.0000 0.0000 0.0000 x1
Au 0.5000 0.5000 0.5000 x1
Cl 0.0000 0.0000 0.5000 x3

b) Here is a relaxed structure of TcAuCl3 from the Alexandria database. Energies are from PBE-GGA.

Values from the calculation:
Total magnetization, μB/atom: 0.94

Unit cell a=5.0741 b=5.0741 c=5.0741 alpha=90.00 beta=90.00 gamma=90.00
Space group Pm-3m (No. 221)
One atom of each set of equivalent atoms:
Tc 0.0000 0.0000 0.0000 x1
Au 0.5000 0.5000 0.5000 x1
Cl 0.0000 0.5000 0.5000 x3

Most favorable structure: a). The second most favorable one is 0.459 eV/atom above it.